Density functional theory data (PBE with a Hubbard U) for a relaxed structure of MnBi2PdO6.

E	-60.85	eV/f.u.

```
10
Lattice="-4.5250 -1.1687 -3.3188 0.7219 -0.9283 -5.6095 -0.6877 -5.3274 -2.1354" Properties=species:S:1:pos:R:3 pbc="T T T"
O -2.2109 -5.2558 -6.8571
Bi -0.7405 -4.9043 -2.2118
O -3.3870 -4.9566 -4.3951
O -2.7639 -2.2398 -3.4136
O -0.1751 -2.4956 -6.6079
Mn -3.4711 -4.7430 -8.4475
Bi -2.3050 -3.2308 -5.6192
Pd -1.2424 -0.9015 -2.9392
O -0.6711 -4.6635 -4.6636
O -4.2102 -3.1025 -7.1749
```